# 1
# Mo3W4 | Alexandria | PBE | relaxed
# ΔH_f (0 K), eV/f.u.: -0.088
# Total moment, μB per atom: 0.00
# N(E_F), states/eV/cell: 7.9
# E, eV/atom: -12.056
# Energy above the most stable polymorph in this dataset, eV/f.u.: 0.00
data_Mo3W4
_chemical_formula_sum 'Mo6 W8'
_cell_length_a 3.176
_cell_length_b 3.176
_cell_length_c 22.241
_cell_angle_alpha 90.00
_cell_angle_beta 90.00
_cell_angle_gamma 90.00
_space_group_name_H-M_alt 'I 4/m m m'
_space_group_IT_number 139
_space_group_name_Hall '-I 4 2'
loop_
_atom_site_label
_atom_site_fract_x
_atom_site_fract_y
_atom_site_fract_z
Mo1 0.000 0.000 0.000
Mo2 0.000 0.000 0.286
W1 0.000 0.000 0.143
W2 0.000 0.000 0.429


# 2
# ScBiAu | Alexandria | PBE | relaxed
# ΔH_f (0 K), eV/f.u.: -1.444
# Total moment, μB per atom: 0.00
# N(E_F), states/eV/cell: 3.9
# E, eV/atom: -4.978
data_ScBiAu
_chemical_formula_sum 'Sc2 Bi2 Au2'
_cell_length_a 3.503
_cell_length_b 3.503
_cell_length_c 11.583
_cell_angle_alpha 90.00
_cell_angle_beta 90.00
_cell_angle_gamma 90.00
_space_group_name_H-M_alt 'I 4 m m'
_space_group_IT_number 107
_space_group_name_Hall 'I 4 -2'
loop_
_atom_site_label
_atom_site_fract_x
_atom_site_fract_y
_atom_site_fract_z
Sc1 0.000 0.000 0.000
Bi1 0.000 0.000 0.306
Au1 0.000 0.000 0.620


# 3
# YMn4 | Alexandria | PBE | relaxed
# ΔH_f (0 K), eV/f.u.: 2.219
# Total moment, μB per atom: 2.64
# N(E_F), states/eV/cell: 9.5
# E, eV/atom: -8.185
# Energy above the most stable polymorph in this dataset, eV/f.u.: 1.96
data_YMn4
_chemical_formula_sum 'Y2 Mn8'
_cell_length_a 6.725
_cell_length_b 6.725
_cell_length_c 3.762
_cell_angle_alpha 90.00
_cell_angle_beta 90.00
_cell_angle_gamma 90.00
_space_group_name_H-M_alt 'I 4/m'
_space_group_IT_number 87
_space_group_name_Hall '-I 4'
loop_
_atom_site_label
_atom_site_fract_x
_atom_site_fract_y
_atom_site_fract_z
Y1 0.000 0.000 0.000
Mn1 0.099 0.327 0.500


# 4
# Ca2Mg3Ga2 | Alexandria | PBE | relaxed
# ΔH_f (0 K), eV/f.u.: -1.926
# Total moment, μB per atom: 0.00
# N(E_F), states/eV/cell: 7.6
# E, eV/atom: -2.395
# Energy above the most stable polymorph in this dataset, eV/f.u.: 0.02
data_Ca2Mg3Ga2
_chemical_formula_sum 'Ca4 Mg6 Ga4'
_cell_length_a 10.802
_cell_length_b 4.544
_cell_length_c 7.267
_cell_angle_alpha 90.00
_cell_angle_beta 100.89
_cell_angle_gamma 90.00
_space_group_name_H-M_alt 'C 1 2/m 1'
_space_group_IT_number 12
_space_group_name_Hall '-C 2y'
loop_
_atom_site_label
_atom_site_fract_x
_atom_site_fract_y
_atom_site_fract_z
Ca1 0.125 0.000 0.358
Mg1 0.000 0.500 0.000
Mg2 0.183 0.000 0.868
Ga1 0.086 0.500 0.660


# 5
# AcLaSi | Alexandria | PBE | relaxed
# Total moment, μB per atom: 0.00
# N(E_F), states/eV/cell: 10.5
# E, eV/atom: -5.286
# Energy above the most stable polymorph in this dataset, eV/f.u.: 0.00
data_AcLaSi
_chemical_formula_sum 'Ac3 La3 Si3'
_cell_length_a 8.2428
_cell_length_b 8.2428
_cell_length_c 4.6863
_cell_angle_alpha 90.00
_cell_angle_beta 90.00
_cell_angle_gamma 120.00
_space_group_name_H-M_alt 'P -6 2 m'
_space_group_IT_number 189
_space_group_name_Hall 'P -6 -2'
loop_
_atom_site_label
_atom_site_fract_x
_atom_site_fract_y
_atom_site_fract_z
Ac1 0.0000 0.4222 0.0000
La1 0.0000 0.7516 0.5000
Si1 0.0000 0.0000 0.0000
Si2 0.3333 0.6667 0.5000


# 6
# Th7Ga2Si2 | Alexandria | PBE | relaxed
# Total moment, μB per atom: 0.00
# N(E_F), states/eV/cell: 22.3
# E, eV/atom: -6.406
data_Th7Ga2Si2
_chemical_formula_sum 'Th14 Ga4 Si4'
_cell_length_a 8.142
_cell_length_b 10.990
_cell_length_c 7.105
_cell_angle_alpha 90.00
_cell_angle_beta 90.00
_cell_angle_gamma 90.00
_space_group_name_H-M_alt 'C m m m'
_space_group_IT_number 65
_space_group_name_Hall '-C 2 2'
loop_
_atom_site_label
_atom_site_fract_x
_atom_site_fract_y
_atom_site_fract_z
Th1 0.000 0.000 0.000
Th2 0.000 0.500 0.252
Th3 0.250 0.250 0.280
Ga1 0.162 0.000 0.500
Si1 0.000 0.275 0.000


# 7
# FeOsAu2 | Alexandria | PBE | relaxed
# ΔH_f (0 K), eV/f.u.: 2.268
# Total moment, μB per atom: 0.78
# N(E_F), states/eV/cell: 6.1
# E, eV/atom: -5.995
# Energy above the most stable polymorph in this dataset, eV/f.u.: 1.28
data_FeOsAu2
_chemical_formula_sum 'Fe2 Os2 Au4'
_cell_length_a 2.765
_cell_length_b 4.751
_cell_length_c 9.668
_cell_angle_alpha 90.00
_cell_angle_beta 90.00
_cell_angle_gamma 90.00
_space_group_name_H-M_alt 'I m m m'
_space_group_IT_number 71
_space_group_name_Hall '-I 2 2'
loop_
_atom_site_label
_atom_site_fract_x
_atom_site_fract_y
_atom_site_fract_z
Fe1 0.000 0.000 0.000
Os1 0.000 0.000 0.500
Au1 0.000 0.500 0.258


# 8
# CeInSb | Alexandria | PBE | relaxed
# Total moment, μB per atom: 0.52
# N(E_F), states/eV/cell: 14.4
# E, eV/atom: -4.669
# Energy above the most stable polymorph in this dataset, eV/f.u.: 0.00
data_CeInSb
_chemical_formula_sum 'Ce2 In2 Sb2'
_cell_length_a 3.927
_cell_length_b 3.927
_cell_length_c 10.847
_cell_angle_alpha 90.00
_cell_angle_beta 90.00
_cell_angle_gamma 90.00
_space_group_name_H-M_alt 'I 4 m m'
_space_group_IT_number 107
_space_group_name_Hall 'I 4 -2'
loop_
_atom_site_label
_atom_site_fract_x
_atom_site_fract_y
_atom_site_fract_z
Ce1 0.000 0.000 0.000
In1 0.000 0.000 0.690
Sb1 0.000 0.000 0.328


# 9
# Ho2TePd | Alexandria | PBE | relaxed
# Total moment, μB per atom: 0.05
# N(E_F), states/eV/cell: 3.0
# E, eV/atom: -5.286
# Energy above the most stable polymorph in this dataset, eV/f.u.: 0.64
data_Ho2TePd
_chemical_formula_sum 'Ho2 Te1 Pd1'
_cell_length_a 3.713
_cell_length_b 3.713
_cell_length_c 7.036
_cell_angle_alpha 90.00
_cell_angle_beta 90.00
_cell_angle_gamma 90.00
_space_group_name_H-M_alt 'P 4/m m m'
_space_group_IT_number 123
_space_group_name_Hall '-P 4 2'
loop_
_atom_site_label
_atom_site_fract_x
_atom_site_fract_y
_atom_site_fract_z
Ho1 0.000 0.000 0.231
Te1 0.500 0.500 0.500
Pd1 0.500 0.500 0.000


# 10
# SbAsOs2 | Alexandria | PBE | relaxed
# Total moment, μB per atom: 0.00
# N(E_F), states/eV/cell: 7.3
# E, eV/atom: -7.014
# Energy above the most stable polymorph in this dataset, eV/f.u.: 1.98
data_SbAsOs2
_chemical_formula_sum 'Sb2 As2 Os4'
_cell_length_a 4.127
_cell_length_b 4.127
_cell_length_c 7.870
_cell_angle_alpha 90.00
_cell_angle_beta 90.00
_cell_angle_gamma 90.00
_space_group_name_H-M_alt 'I -4 m 2'
_space_group_IT_number 119
_space_group_name_Hall 'I -4 -2'
loop_
_atom_site_label
_atom_site_fract_x
_atom_site_fract_y
_atom_site_fract_z
Sb1 0.000 0.000 0.000
As1 0.000 0.500 0.750
Os1 0.000 0.000 0.500
Os2 0.000 0.500 0.250


# 11
# KReB2 | Alexandria | PBE | relaxed
# ΔH_f (0 K), eV/f.u.: 2.479
# Total moment, μB per atom: 0.00
# N(E_F), states/eV/cell: 5.8
# E, eV/atom: -6.105
# Energy above the most stable polymorph in this dataset, eV/f.u.: 0.00
data_KReB2
_chemical_formula_sum 'K4 Re4 B8'
_cell_length_a 6.502
_cell_length_b 6.502
_cell_length_c 9.226
_cell_angle_alpha 90.00
_cell_angle_beta 90.00
_cell_angle_gamma 90.00
_space_group_name_H-M_alt 'I -4 2 d'
_space_group_IT_number 122
_space_group_name_Hall 'I -4 2bw'
loop_
_atom_site_label
_atom_site_fract_x
_atom_site_fract_y
_atom_site_fract_z
K1 0.000 0.000 0.000
Re1 0.000 0.000 0.500
B1 0.012 0.250 0.625


# 12
# Zn2TcBiC | Alexandria | PBE | relaxed
# ΔH_f (0 K), eV/f.u.: 8.954
# Total moment, μB per atom: 0.52
# N(E_F), states/eV/cell: 4.3
# E, eV/atom: -3.413
data_Zn2TcBiC
_chemical_formula_sum 'Zn2 Tc1 Bi1 C1'
_cell_length_a 4.885
_cell_length_b 4.885
_cell_length_c 5.167
_cell_angle_alpha 90.00
_cell_angle_beta 90.00
_cell_angle_gamma 90.00
_space_group_name_H-M_alt 'P 4/m m m'
_space_group_IT_number 123
_space_group_name_Hall '-P 4 2'
loop_
_atom_site_label
_atom_site_fract_x
_atom_site_fract_y
_atom_site_fract_z
Zn1 0.000 0.500 0.000
Tc1 0.000 0.000 0.000
Bi1 0.000 0.000 0.500
C1 0.500 0.500 0.500


- E of number 12 (Zn2TcBiC)?
  -3.413 eV/atom


- Look up the E of the first one.
  -12.056 eV/atom


Copy entry 10 word for word.
# SbAsOs2 | Alexandria | PBE | relaxed
# Total moment, μB per atom: 0.00
# N(E_F), states/eV/cell: 7.3
# E, eV/atom: -7.014
# Energy above the most stable polymorph in this dataset, eV/f.u.: 1.98
data_SbAsOs2
_chemical_formula_sum 'Sb2 As2 Os4'
_cell_length_a 4.127
_cell_length_b 4.127
_cell_length_c 7.870
_cell_angle_alpha 90.00
_cell_angle_beta 90.00
_cell_angle_gamma 90.00
_space_group_name_H-M_alt 'I -4 m 2'
_space_group_IT_number 119
_space_group_name_Hall 'I -4 -2'
loop_
_atom_site_label
_atom_site_fract_x
_atom_site_fract_y
_atom_site_fract_z
Sb1 0.000 0.000 0.000
As1 0.000 0.500 0.750
Os1 0.000 0.000 0.500
Os2 0.000 0.500 0.250


Please write out number 2 again, unchanged.
# ScBiAu | Alexandria | PBE | relaxed
# ΔH_f (0 K), eV/f.u.: -1.444
# Total moment, μB per atom: 0.00
# N(E_F), states/eV/cell: 3.9
# E, eV/atom: -4.978
data_ScBiAu
_chemical_formula_sum 'Sc2 Bi2 Au2'
_cell_length_a 3.503
_cell_length_b 3.503
_cell_length_c 11.583
_cell_angle_alpha 90.00
_cell_angle_beta 90.00
_cell_angle_gamma 90.00
_space_group_name_H-M_alt 'I 4 m m'
_space_group_IT_number 107
_space_group_name_Hall 'I 4 -2'
loop_
_atom_site_label
_atom_site_fract_x
_atom_site_fract_y
_atom_site_fract_z
Sc1 0.000 0.000 0.000
Bi1 0.000 0.000 0.306
Au1 0.000 0.000 0.620